{
  "formula": "Cs2SrCdAs2",
  "functional": "PBE-GGA",
  "state": "relaxed",
  "lattice": [[-4.033, 0.306, 3.004], [-1.202, -4.761, -1.129], [4.711, -2.757, 6.607]],
  "species": ["Cs", "Cs", "Sr", "Cd", "As", "As"],
  "fractional_positions": [[0.000, 0.500, 0.362], [0.500, 0.000, 0.638], [0.000, 0.000, 0.000], [0.500, 0.500, 0.000], [0.000, 0.500, 0.807], [0.500, 0.000, 0.193]],
  "e_tot_ev_per_atom": -2.91
}


{
  "formula": "CsZn3CdAs3",
  "functional": "PBE-GGA",
  "state": "relaxed",
  "lattice": [[4.281, 0.000, 0.000], [0.000, 4.355, 0.000], [0.000, 0.000, 10.821]],
  "species": ["Zn", "Zn", "Zn", "As", "As", "As", "Cs", "Cd"],
  "fractional_positions": [[0.500, 0.500, 0.162], [0.500, 0.500, 0.846], [0.000, 0.000, 0.840], [0.000, 0.500, 0.719], [0.500, 0.000, 0.988], [0.000, 0.500, 0.292], [0.500, 0.000, 0.504], [0.000, 0.000, 0.149]],
  "e_tot_ev_per_atom": -2.71
}


{
  "formula": "CsZnCd3As3",
  "functional": "PBE-GGA",
  "state": "relaxed",
  "lattice": [[-2.506, 1.663, 3.270], [2.456, -2.287, 3.045], [6.785, 8.470, 0.890]],
  "species": ["As", "As", "As", "Zn", "Cs", "Cd", "Cd", "Cd"],
  "fractional_positions": [[0.000, 0.000, 0.993], [0.500, 0.500, 0.707], [0.500, 0.500, 0.303], [0.000, 0.500, 0.833], [0.000, 0.000, 0.502], [0.500, 0.000, 0.841], [0.000, 0.500, 0.157], [0.500, 0.000, 0.164]],
  "e_tot_ev_per_atom": -2.60
}


{
  "formula": "CdCuHgAs",
  "functional": "PBE-GGA",
  "state": "relaxed",
  "lattice": [[-2.777, -1.927, -3.385], [-3.985, 2.250, -1.391], [-0.225, 2.005, -4.337]],
  "species": ["Hg", "As", "Cd", "Cu"],
  "fractional_positions": [[0.500, 0.500, 0.500], [0.000, 0.000, 0.000], [0.250, 0.250, 0.250], [0.750, 0.750, 0.750]],
  "e_tot_ev_per_atom": -2.14,
  "de_polymorph_mev_per_atom": 0
}


{
  "formula": "LiCdCuAs",
  "functional": "PBE-GGA",
  "state": "relaxed",
  "lattice": [[1.438, 1.702, 4.004], [-2.410, -0.778, 3.819], [1.654, -2.808, 3.221]],
  "species": ["Cd", "Cu", "Li", "As"],
  "fractional_positions": [[0.250, 0.250, 0.250], [0.750, 0.750, 0.750], [0.500, 0.500, 0.500], [0.000, 0.000, 0.000]],
  "e_tot_ev_per_atom": -2.80,
  "de_polymorph_mev_per_atom": 114
}


{
  "formula": "LiCdCuAs",
  "functional": "PBE-GGA",
  "state": "relaxed",
  "lattice": [[4.457, 0.123, 0.732], [1.599, -0.120, 4.224], [2.146, -3.682, 1.500]],
  "species": ["As", "Cd", "Li", "Cu"],
  "fractional_positions": [[0.000, 0.000, 0.000], [0.500, 0.500, 0.500], [0.250, 0.250, 0.250], [0.750, 0.750, 0.750]],
  "e_tot_ev_per_atom": -2.91,
  "de_polymorph_mev_per_atom": 0
}


{
  "formula": "NaCd2Cu2As3",
  "functional": "PBE-GGA",
  "state": "relaxed",
  "lattice": [[2.024, 1.168, 12.333], [-2.024, 1.168, 12.333], [0.000, -2.337, 12.333]],
  "species": ["Cd", "Cd", "As", "As", "As", "Cu", "Cu", "Na"],
  "fractional_positions": [[0.292, 0.292, 0.292], [0.708, 0.708, 0.708], [0.000, 0.000, 0.000], [0.779, 0.779, 0.779], [0.221, 0.221, 0.221], [0.898, 0.898, 0.898], [0.102, 0.102, 0.102], [0.500, 0.500, 0.500]],
  "e_tot_ev_per_atom": -3.14
}


{
  "formula": "CdCuNiAs",
  "functional": "PBE-GGA",
  "state": "relaxed",
  "lattice": [[-3.213, -1.998, 2.371], [-1.207, 1.659, 3.965], [-3.977, 1.973, 0.477]],
  "species": ["Cd", "As", "Ni", "Cu"],
  "fractional_positions": [[0.250, 0.250, 0.250], [0.000, 0.000, 0.000], [0.500, 0.500, 0.500], [0.750, 0.750, 0.750]],
  "e_tot_ev_per_atom": -3.41,
  "de_polymorph_mev_per_atom": 162
}


{
  "formula": "CdCuNiAs",
  "functional": "PBE-GGA",
  "state": "relaxed",
  "lattice": [[-1.068, -2.978, 3.068], [-2.916, -3.171, -0.928], [1.344, -4.175, -0.420]],
  "species": ["As", "Cd", "Ni", "Cu"],
  "fractional_positions": [[0.500, 0.500, 0.500], [0.000, 0.000, 0.000], [0.250, 0.250, 0.250], [0.750, 0.750, 0.750]],
  "e_tot_ev_per_atom": -3.57,
  "de_polymorph_mev_per_atom": 0
}


{
  "formula": "CdCuAsPt",
  "functional": "PBE-GGA",
  "state": "relaxed",
  "lattice": [[2.426, 1.699, 3.460], [-1.903, 2.985, 2.867], [-0.955, -1.241, 4.277]],
  "species": ["Cu", "Pt", "As", "Cd"],
  "fractional_positions": [[0.750, 0.750, 0.750], [0.250, 0.250, 0.250], [0.000, 0.000, 0.000], [0.500, 0.500, 0.500]],
  "e_tot_ev_per_atom": -3.78,
  "de_polymorph_mev_per_atom": 0
}


{
  "formula": "CdCuSn2As4",
  "functional": "PBE-GGA",
  "state": "relaxed",
  "lattice": [[0.339, -2.410, 6.914], [-6.353, 1.423, 3.369], [1.504, -3.277, -6.382]],
  "species": ["Cd", "Cu", "Sn", "Sn", "As", "As", "As", "As"],
  "fractional_positions": [[0.000, 0.000, 0.000], [0.250, 0.750, 0.500], [0.500, 0.500, 0.000], [0.750, 0.250, 0.500], [0.364, 0.404, 0.500], [0.596, 0.096, 0.961], [0.904, 0.864, 0.500], [0.136, 0.636, 0.039]],
  "e_tot_ev_per_atom": -3.96
}


{
  "formula": "TaCdCuAs",
  "functional": "PBE-GGA",
  "state": "relaxed",
  "lattice": [[-1.954, -3.653, 1.963], [-4.016, 0.436, 2.167], [-3.795, -1.822, -1.816]],
  "species": ["As", "Ta", "Cu", "Cd"],
  "fractional_positions": [[0.000, 0.000, 0.000], [0.250, 0.250, 0.250], [0.750, 0.750, 0.750], [0.500, 0.500, 0.500]],
  "e_tot_ev_per_atom": -4.83,
  "de_polymorph_mev_per_atom": 0
}


> Which formula does entry 5 have?

LiCdCuAs


> Number 12 is which compound?

TaCdCuAs